Compound: Na2As
Source: Alexandria
Functional: PBE
Structure: relaxed

Calculated values
Its crystal system is tetragonal. The formation energy comes out at -0.262 eV per atom. As for the space-group type: No. 139. As for the volume: 70.4 Å³ per cell.

```
Na2As
1.0
3.896 0.000 0.000
0.000 3.896 0.000
-1.948 -1.948 4.639
Na As
2 1
direct
0.657 0.657 0.313
0.343 0.343 0.687
0.000 0.000 0.000
```

=====

Compound: ZrHgP2
Source: Alexandria
Functional: PBE
Structure: relaxed

Calculated values
Its crystal system is cubic. The formation energy comes out at 0.243 eV per atom. As for the space-group type: No. 216. As for the volume: 75.6 Å³ per cell.

```
ZrHgP2
1.0
4.747 0.000 0.000
2.373 4.111 0.000
2.373 1.370 3.876
Zr P Hg
1 2 1
direct
0.750 0.750 0.750
0.250 0.250 0.250
0.000 0.000 0.000
0.500 0.500 0.500
```

=====

What did the second record say?
Compound: ZrHgP2
Source: Alexandria
Functional: PBE
Structure: relaxed

Calculated values
Its crystal system is cubic. The formation energy comes out at 0.243 eV per atom. As for the space-group type: No. 216. As for the volume: 75.6 Å³ per cell.

```
ZrHgP2
1.0
4.747 0.000 0.000
2.373 4.111 0.000
2.373 1.370 3.876
Zr P Hg
1 2 1
direct
0.750 0.750 0.750
0.250 0.250 0.250
0.000 0.000 0.000
0.500 0.500 0.500
```